Material: Rb2LiIn12Pt3
Method: DFT, PBE-GGA
State: optimized geometry

Output
calculated formation energy = -0.11 eV per atom
crystal system = trigonal

Cell and atoms, written as CIF:
```
data_Rb2LiIn12Pt3
_chemical_formula_sum 'Rb6 Li3 In36 Pt9'
_symmetry_space_group_name_H-M 'R -3 m'
_symmetry_Int_Tables_number 166
_symmetry_space_group_name_Hall '-R 3 2"'
_cell_length_a 10.3184
_cell_length_b 10.3184
_cell_length_c 19.3975
_cell_angle_alpha 90.00
_cell_angle_beta 90.00
_cell_angle_gamma 120.00
loop_
_atom_site_label
_atom_site_fract_x
_atom_site_fract_y
_atom_site_fract_z
Rb1 0.0000 0.0000 0.1008
Li1 0.0000 0.0000 0.5000
In1 0.0121 0.5061 0.1386
In2 0.1037 0.5519 0.3133
Pt1 0.0000 0.5000 0.0000
```

---

Material: ZrSb2IO
Method: DFT, PBE-GGA
State: optimized geometry

Output
raw formation energy = -0.064 eV/atom
E above lowest polymorph = 0.000 eV per atom
crystal system = tetragonal

Cell and atoms, written as CIF:
```
data_ZrSb2IO
_chemical_formula_sum 'Zr1 Sb2 I1 O1'
_symmetry_space_group_name_H-M 'P 4/m m m'
_symmetry_Int_Tables_number 123
_symmetry_space_group_name_Hall '-P 4 2'
_cell_length_a 4.470
_cell_length_b 4.470
_cell_length_c 5.829
_cell_angle_alpha 90.00
_cell_angle_beta 90.00
_cell_angle_gamma 90.00
loop_
_atom_site_label
_atom_site_fract_x
_atom_site_fract_y
_atom_site_fract_z
Zr1 0.000 0.000 0.000
Sb1 0.000 0.500 0.500
I1 0.500 0.500 0.000
O1 0.500 0.500 0.500
```

---

Material: Al2Au3
Method: DFT, PBE-GGA
State: optimized geometry

Output
calculated formation energy = -0.17 eV per atom
crystal system = cubic

Cell and atoms, written as CIF:
```
data_Al2Au3
_chemical_formula_sum 'Al16 Au24'
_symmetry_space_group_name_H-M 'I -4 3 d'
_symmetry_Int_Tables_number 220
_symmetry_space_group_name_Hall 'I -4bd 2c 3'
_cell_length_a 9.122
_cell_length_b 9.122
_cell_length_c 9.122
_cell_angle_alpha 90.00
_cell_angle_beta 90.00
_cell_angle_gamma 90.00
loop_
_atom_site_label
_atom_site_fract_x
_atom_site_fract_y
_atom_site_fract_z
Al1 0.033 0.467 0.533
Au1 0.000 0.250 0.030
```

---

Material: Ho6Er3Mg
Method: DFT, PBE-GGA
State: optimized geometry

Output
E above lowest polymorph = 0.000 eV per atom
calculated formation energy = 0.02 eV per atom
crystal system = monoclinic

Cell and atoms, written as CIF:
```
data_Ho6Er3Mg
_chemical_formula_sum 'Ho12 Er6 Mg2'
_symmetry_space_group_name_H-M 'P 1 21/m 1'
_symmetry_Int_Tables_number 11
_symmetry_space_group_name_Hall '-P 2yb'
_cell_length_a 11.016
_cell_length_b 4.957
_cell_length_c 11.066
_cell_angle_alpha 90.00
_cell_angle_beta 90.23
_cell_angle_gamma 90.00
loop_
_atom_site_label
_atom_site_fract_x
_atom_site_fract_y
_atom_site_fract_z
Ho1 0.049 0.250 0.400
Ho2 0.149 0.750 0.196
Ho3 0.150 0.250 0.698
Ho4 0.248 0.250 0.999
Ho5 0.348 0.750 0.800
Ho6 0.449 0.250 0.602
Er1 0.249 0.750 0.498
Er2 0.349 0.250 0.297
Er3 0.449 0.750 0.100
Mg1 0.048 0.750 0.903
```

---

Which formula does entry 1 have?
Rb2LiIn12Pt3

---

Number 1 is which compound?
Rb2LiIn12Pt3

---

What is the formula in the first record?
Rb2LiIn12Pt3

---

Repeat the third record exactly.
Material: Al2Au3
Method: DFT, PBE-GGA
State: optimized geometry

Output
calculated formation energy = -0.17 eV per atom
crystal system = cubic

Cell and atoms, written as CIF:
```
data_Al2Au3
_chemical_formula_sum 'Al16 Au24'
_symmetry_space_group_name_H-M 'I -4 3 d'
_symmetry_Int_Tables_number 220
_symmetry_space_group_name_Hall 'I -4bd 2c 3'
_cell_length_a 9.122
_cell_length_b 9.122
_cell_length_c 9.122
_cell_angle_alpha 90.00
_cell_angle_beta 90.00
_cell_angle_gamma 90.00
loop_
_atom_site_label
_atom_site_fract_x
_atom_site_fract_y
_atom_site_fract_z
Al1 0.033 0.467 0.533
Au1 0.000 0.250 0.030
```